[1]
A plane-wave DFT calculation with PBE-GGA was carried out for an optimized crystal structure of Pm4SmYSe8.

Cell: 8.616 8.616 8.586 Å, 59.89 59.89 60.00°
Fractional positions:
Se  0.238  0.774  0.749
Se  0.244  0.244  0.269
Se  0.238  0.238  0.749
Se  0.757  0.757  0.730
Se  0.774  0.238  0.749
Se  0.762  0.762  0.251
Se  0.224  0.762  0.251
Se  0.762  0.224  0.251
Y  0.000  0.000  0.999
Pm  0.000  0.000  0.500
Pm  0.000  0.500  0.500
Pm  0.624  0.624  0.128
Pm  0.500  0.000  0.500
Sm  0.376  0.376  0.872

The uncorrected formation energy comes out at -1731 meV per atom. The calculated density is 5.35 Mg/m³. Its magnetization is 0.00 μB/f.u. The density of states at the Fermi level comes out at 0.65 states/eV/atom.

[2]
A plane-wave DFT calculation with PBE-GGA was carried out for an optimized crystal structure of NdAsO2.

Cell: 3.502 3.502 6.947 Å, 75.40 75.40 60.00°
Fractional positions:
Nd  0.000  0.000  0.000
O  0.115  0.115  0.654
O  0.885  0.885  0.346
As  0.500  0.500  0.500

The uncorrected formation energy comes out at -1014 meV per atom. The calculated density is 5.91 Mg/m³. Its magnetization is 0.00 μB/f.u. The density of states at the Fermi level comes out at 0.44 states/eV/atom.

[3]
A plane-wave DFT calculation with PBE-GGA was carried out for an optimized crystal structure of ZrPt2W.

Cell: 4.691 2.828 5.068 Å, 89.97 90.00 90.00°
Fractional positions:
Zr  0.500  0.625  0.803
W  0.000  0.624  0.434
Pt  0.500  0.125  0.306
Pt  0.000  0.125  0.956

The calculated density is 16.43 Mg/m³. Its magnetization is 0.00 μB/f.u. The density of states at the Fermi level comes out at 0.95 states/eV/atom. As for the uncorrected energy: -35.672 eV for the cell shown.

[4]
A plane-wave DFT calculation with PBE-GGA was carried out for an optimized crystal structure of AgPdBr6.

Cell: 6.372 6.907 7.502 Å, 55.42 62.91 61.85°
Fractional positions:
Br  0.772  0.077  0.752
Br  0.385  0.809  0.779
Br  0.615  0.191  0.221
Br  0.068  0.420  0.758
Br  0.228  0.923  0.248
Br  0.932  0.580  0.242
Pd  0.000  0.000  0.000
Ag  0.500  0.500  0.500

The uncorrected formation energy comes out at -130 meV per atom. The calculated density is 4.98 Mg/m³. Its magnetization is 0.00 μB/f.u. The density of states at the Fermi level comes out at 0.92 states/eV/atom.

Let's list V in order: 32.138; 17.648; 16.810; 28.942 Å³ per atom.